# 1
{
  "formula": "ScOs2",
  "functional": "SCAN",
  "state": "PBEsol geometry",
  "cell": [[-2.8866, -2.3792, -3.5403], [4.9121, 1.1531, -1.0336], [4.8531, -15.1151, 6.2009]],
  "species": ["Os", "Os", "Os", "Os", "Os", "Os", "Os", "Os", "Os", "Os", "Os", "Os", "Os", "Os", "Os", "Os", "Sc", "Sc", "Sc", "Sc", "Sc", "Sc", "Sc", "Sc"],
  "frac_coords": [[0.3333, 0.6667, 0.8736], [0.6667, 0.3333, 0.1264], [0.6667, 0.3333, 0.3736], [0.3333, 0.6667, 0.6264], [0.0000, 0.5000, 0.0000], [0.5000, 0.0000, 0.0000], [0.5000, 0.5000, 0.0000], [0.0000, 0.5000, 0.5000], [0.5000, 0.0000, 0.5000], [0.5000, 0.5000, 0.5000], [0.6771, 0.8386, 0.7500], [0.1614, 0.3229, 0.7500], [0.1614, 0.8386, 0.7500], [0.3229, 0.1614, 0.2500], [0.8386, 0.6771, 0.2500], [0.8386, 0.1614, 0.2500], [0.0000, 0.0000, 0.9091], [0.0000, 0.0000, 0.0909], [0.0000, 0.0000, 0.4091], [0.0000, 0.0000, 0.5909], [0.3333, 0.6667, 0.1561], [0.6667, 0.3333, 0.8439], [0.6667, 0.3333, 0.6561], [0.3333, 0.6667, 0.3439]],
  "energy_ev_per_cell": -1276.132,
  "ef_mev_per_atom": -507,
  "space_group": "No. 194"
}

---

# 2
{
  "formula": "ScOs2Se",
  "functional": "SCAN",
  "state": "PBEsol geometry",
  "cell": [[-1.7715, -0.5182, -3.3125], [0.9831, -3.6620, 0.0471], [-3.1988, 1.1521, 3.7009]],
  "species": ["Os", "Os", "Sc", "Se"],
  "frac_coords": [[0.0000, 0.0000, 0.0000], [0.7500, 0.2500, 0.5000], [0.5000, 0.5000, 0.0000], [0.2500, 0.7500, 0.5000]],
  "formation_energy_uncorrected_mev_per_atom": 208,
  "energy_ev_per_cell": -177.244,
  "space_group": "No. 119"
}

---

# 3
{
  "formula": "ScOsSe2",
  "functional": "SCAN",
  "state": "PBEsol geometry",
  "cell": [[3.2383, 0.0825, 0.0000], [-0.8514, 3.1255, 0.0000], [0.0000, 0.0000, 6.6061]],
  "species": ["Os", "Sc", "Se", "Se"],
  "frac_coords": [[0.5000, 0.5000, 0.5000], [0.5000, 0.5000, 0.0000], [0.0000, 0.0000, 0.2637], [0.0000, 0.0000, 0.7363]],
  "polymorph_energy_mev_per_atom": 277,
  "formation_energy_uncorrected_mev_per_atom": -62,
  "energy_ev_per_cell": -126.523,
  "space_group": "No. 65"
}

---

# 4
{
  "formula": "ScOsSe3",
  "functional": "SCAN",
  "state": "PBEsol geometry",
  "cell": [[-2.2467, 2.1606, -3.8669], [0.0068, -4.3342, -2.4256], [-4.4296, -1.1025, 1.9576]],
  "species": ["Sc", "Os", "Se", "Se", "Se"],
  "frac_coords": [[0.0000, 0.0000, 0.0000], [0.5000, 0.5000, 0.5000], [0.0000, 0.5000, 0.0000], [0.0000, 0.0000, 0.5000], [0.5000, 0.0000, 0.0000]],
  "formation_energy_uncorrected_mev_per_atom": 752,
  "energy_ev_per_cell": -142.595,
  "space_group": "No. 221"
}